1.
Material: Ac4SiPI2
Method: DFT, PBE
State: optimized geometry

Raw total energy (eV/cell): -39.441
Fermi-level density of states (states/eV/f.u.): 3.22

abc: 7.8058 4.5203 8.5879
angles: 90.00 107.73 90.00
With the nearest neighbours (Å) after each atom.
Positions (direct):
1 Ac 0.2286 0.0000 0.1945  2 P 3.04, 1 Si 3.07
2 Ac 0.2645 0.5000 0.8032  1 P 3.04, 2 Si 3.07
3 Ac 0.7355 0.5000 0.1968  1 P 3.04, 2 Si 3.07
4 Ac 0.7714 0.0000 0.8055  2 P 3.04, 1 Si 3.07
5 Si 0.5000 0.0000 0.0000  6 Ac 3.07
6 P 0.0000 0.5000 0.0000  6 Ac 3.04
7 I 0.0000 0.0000 0.5000  6 Ac 3.59
8 I 0.5000 0.5000 0.5000  6 Ac 3.62

***

2.
Material: TlNi3As
Method: DFT, PBE
State: optimized geometry

Raw total energy (eV/cell): -22.818
Fermi-level density of states (states/eV/f.u.): 3.96
Energy of formation (eV/atom): 0.308
Relative energy among the computed polymorphs (kJ per mole of atoms): 0.00

abc: 4.4125 4.4125 4.4125
angles: 90.00 90.00 90.00
With the nearest neighbours (Å) after each atom.
Positions (direct):
1 Tl 0.0000 0.0000 0.0000  12 Ni 3.12
2 Ni 0.0000 0.5000 0.5000  2 As 2.21
3 Ni 0.5000 0.0000 0.5000  2 As 2.21
4 Ni 0.5000 0.5000 0.0000  2 As 2.21
5 As 0.5000 0.5000 0.5000  6 Ni 2.21